# 1
Entry from Alexandria via LeMat-Bulk: ZrZnBrN2 after structural relaxation (PBE).

abc: 4.1814 4.5370 4.1814
angles: 90.00 90.00 90.00
Closest atoms and distances in Å follow each position.
Fractional coordinates of all 5 atoms:
Zn: 0.0000 0.5000 0.0000  2 Br 2.27
Br: 0.0000 0.0000 0.0000  4 N 2.09, 2 Zn 2.27
Zr: 0.5000 0.5000 0.5000  4 Zn 2.96, 8 N 3.08
N: 0.0000 0.0000 0.5000  2 Br 2.09
N: 0.5000 0.0000 0.0000  2 Br 2.09

Results
Uncorrected formation energy (eV per atom): 1.7826
M_tot (μB per formula unit): 0.18


# 2
Entry from Alexandria via LeMat-Bulk: KCa2CdNi after structural relaxation (PBE).

abc: 5.5046 5.5046 5.2829
angles: 90.00 90.00 90.00
Closest atoms and distances in Å follow each position.
Fractional coordinates of all 5 atoms:
Ni: 0.0000 0.0000 0.0000  2 Cd 2.64, 4 Ca 2.75
Ca: 0.0000 0.5000 0.0000  2 Ni 2.75
Ca: 0.5000 0.0000 0.0000  2 Ni 2.75
K: 0.5000 0.5000 0.5000  8 Ca 3.81, 4 Cd 3.89
Cd: 0.0000 0.0000 0.5000  2 Ni 2.64

Results
M_tot (μB per formula unit): 0.00
Formation energy from the elements (eV/f.u.): -0.1


# 3
Entry from Alexandria via LeMat-Bulk: Mg2ZnSbN after structural relaxation (PBE).

abc: 4.3715 4.3715 4.3039
angles: 90.00 90.00 90.00
Closest atoms and distances in Å follow each position.
Fractional coordinates of all 5 atoms:
Sb: 0.5000 0.5000 0.5000  8 Mg 3.07, 4 Zn 3.09
Zn: 0.0000 0.0000 0.5000  2 N 2.15
Mg: 0.0000 0.5000 0.0000  2 N 2.19
Mg: 0.5000 0.0000 0.0000  2 N 2.19
N: 0.0000 0.0000 0.0000  2 Zn 2.15, 4 Mg 2.19

Results
Uncorrected formation energy (eV per atom): -0.3308
M_tot (μB per formula unit): 0.00


# 4
Entry from Alexandria via LeMat-Bulk: ScCrPS2 after structural relaxation (PBE).

abc: 4.5906 4.5906 4.4369
angles: 90.00 90.00 90.00
Closest atoms and distances in Å follow each position.
Fractional coordinates of all 5 atoms:
Sc: 0.5000 0.5000 0.5000  8 S 3.19, 4 P 3.25
Cr: 0.0000 0.0000 0.0000  2 P 2.22, 4 S 2.30
S: 0.0000 0.5000 0.0000  2 Cr 2.30
S: 0.5000 0.0000 0.0000  2 Cr 2.30
P: 0.0000 0.0000 0.5000  2 Cr 2.22

Results
Relative energy among the computed polymorphs (meV per atom): 0
Uncorrected formation energy (eV per atom): -0.2904
M_tot (μB per formula unit): 2.27


# 5
Entry from Alexandria via LeMat-Bulk: NpAlIr2 after structural relaxation (PBE).

abc: 3.7367 4.2925 4.2925
angles: 90.00 90.00 90.00
Closest atoms and distances in Å follow each position.
Fractional coordinates of all 4 atoms:
Np: 0.5000 0.0000 0.0000  8 Ir 2.85, 4 Al 3.04
Ir: 0.0000 0.0000 0.5000  4 Np 2.85, 4 Al 2.85, 4 Ir 3.04
Ir: 0.0000 0.5000 0.0000  4 Np 2.85, 4 Al 2.85, 4 Ir 3.04
Al: 0.5000 0.5000 0.5000  8 Ir 2.85, 4 Np 3.04

Results
Relative energy among the computed polymorphs (meV per atom): 180
M_tot (μB per formula unit): 2.98
Formation energy from the elements (eV/f.u.): -1.6


# 6
Entry from Alexandria via LeMat-Bulk: BeOsN2F after structural relaxation (PBE).

abc: 3.8184 3.8184 4.2217
angles: 90.00 90.00 90.00
Closest atoms and distances in Å follow each position.
Fractional coordinates of all 5 atoms:
Be: 0.5000 0.5000 0.5000  4 F 2.70, 8 N 2.85
N: 0.0000 0.5000 0.0000  2 Os 1.91
N: 0.5000 0.0000 0.0000  2 Os 1.91
Os: 0.0000 0.0000 0.0000  4 N 1.91, 2 F 2.11
F: 0.0000 0.0000 0.5000  2 Os 2.11

Results
Relative energy among the computed polymorphs (meV per atom): 52
Uncorrected formation energy (eV per atom): 0.6985
M_tot (μB per formula unit): 0.00


# 7
Entry from Alexandria via LeMat-Bulk: Ba3Ti3O8 after structural relaxation (PBE).

abc: 5.7927 5.7927 7.0328
angles: 88.42 88.42 58.78
Closest atoms and distances in Å follow each position.
Fractional coordinates of all 14 atoms:
Ba: 0.6645 0.6645 0.1688  11 O 2.84-2.94
Ba: 0.3355 0.3355 0.8312  11 O 2.84-2.94
Ba: 0.0000 0.0000 0.5000  10 O 2.86-2.90
Ti: 0.6828 0.6828 0.6854  5 O 1.90-2.03
Ti: 0.3172 0.3172 0.3146  5 O 1.90-2.03
Ti: 0.0000 0.0000 0.0000  6 O 2.04-2.05
O: 0.6640 0.1721 0.1726  2 Ti 1.98-2.04
O: 0.5000 0.0000 0.5000  2 Ti 2.03
O: 0.1721 0.6640 0.1726  2 Ti 1.98-2.04
O: 0.0000 0.5000 0.5000  2 Ti 2.03
O: 0.3360 0.8279 0.8274  2 Ti 1.98-2.04
O: 0.1663 0.1663 0.1608  2 Ti 1.90-2.05
O: 0.8279 0.3360 0.8274  2 Ti 1.98-2.04
O: 0.8337 0.8337 0.8392  2 Ti 1.90-2.05

Results
Uncorrected formation energy (eV per atom): -2.9168
M_tot (μB per formula unit): 1.92


# 8
Entry from Alexandria via LeMat-Bulk: Na2AgSn3Pt4 after structural relaxation (PBE).

abc: 4.1641 4.1641 12.3298
angles: 90.00 90.00 90.00
Closest atoms and distances in Å follow each position.
Fractional coordinates of all 10 atoms:
Na: 0.5000 0.0000 0.2724  4 Pt 3.10, 4 Sn 3.37
Na: 0.0000 0.5000 0.7276  4 Pt 3.10, 4 Sn 3.37
Ag: 0.5000 0.5000 0.5000  4 Pt 2.77, 4 Sn 2.94
Sn: 0.0000 0.0000 0.5000  4 Pt 2.77, 4 Ag 2.94
Sn: 0.5000 0.0000 0.8603  5 Pt 2.61-2.70
Sn: 0.0000 0.5000 0.1397  5 Pt 2.61-2.70
Pt: 0.5000 0.5000 0.0000  4 Sn 2.70, 4 Pt 2.94
Pt: 0.0000 0.0000 0.0000  4 Sn 2.70, 4 Pt 2.94
Pt: 0.5000 0.0000 0.6485  3 Sn 2.61-2.77, 2 Ag 2.77
Pt: 0.0000 0.5000 0.3515  3 Sn 2.61-2.77, 2 Ag 2.77

Results
M_tot (μB per formula unit): 0.00
Formation energy from the elements (eV/f.u.): -3.8


# 9
Entry from Alexandria via LeMat-Bulk: NaCeF4 after structural relaxation (PBE).

abc: 4.0039 4.0037 5.6443
angles: 90.00 90.00 90.13
Closest atoms and distances in Å follow each position.
Fractional coordinates of all 6 atoms:
Na: 0.5013 0.4972 0.9982  8 F 2.49
Ce: 0.0013 0.9973 0.4981  8 F 2.41
F: 0.5013 0.9973 0.2599  2 Ce 2.41, 2 Na 2.49, 1 F 2.69
F: 0.5013 0.9973 0.7364  2 Ce 2.41, 2 Na 2.49, 1 F 2.69
F: 0.0013 0.4973 0.7364  2 Ce 2.41, 2 Na 2.49, 1 F 2.69
F: 0.0013 0.4973 0.2598  2 Ce 2.41, 2 Na 2.49, 1 F 2.69

Results
Uncorrected formation energy (eV per atom): -3.5940
M_tot (μB per formula unit): 1.00


# 10
Entry from Alexandria via LeMat-Bulk: AgGeNF2 after structural relaxation (PBE).

abc: 4.3422 4.3422 4.0579
angles: 90.00 90.00 90.00
Closest atoms and distances in Å follow each position.
Fractional coordinates of all 5 atoms:
Ge: 0.5000 0.5000 0.5000  8 F 2.97, 4 N 3.07
N: 0.0000 0.0000 0.5000  2 Ag 2.03
Ag: 0.0000 0.0000 0.0000  2 N 2.03, 4 F 2.17
F: 0.0000 0.5000 0.0000  2 Ag 2.17
F: 0.5000 0.0000 0.0000  2 Ag 2.17

Results
Relative energy among the computed polymorphs (meV per atom): 770
Uncorrected formation energy (eV per atom): 0.1649
M_tot (μB per formula unit): 0.72


# 11
Entry from Alexandria via LeMat-Bulk: Ti4Re2Ir after structural relaxation (PBE).

abc: 5.3346 5.3346 5.3346
angles: 108.62 109.90 109.90
Closest atoms and distances in Å follow each position.
Fractional coordinates of all 7 atoms:
Ti: 0.5000 0.0000 0.0000  4 Re 2.67, 2 Ir 2.67
Ti: 0.5000 0.5000 0.5000  4 Re 2.67, 2 Ir 2.67
Ti: 0.0000 0.0000 0.5000  4 Re 2.67, 2 Ir 2.67
Ti: 0.0000 0.5000 0.0000  2 Ir 2.67, 4 Re 2.67
Re: 0.5000 0.5000 0.0000  8 Ti 2.67
Re: 0.5000 0.0000 0.5000  8 Ti 2.67
Ir: 0.0000 0.0000 0.0000  8 Ti 2.67

Results
M_tot (μB per formula unit): 0.00
Formation energy from the elements (eV/f.u.): -2.5


# 12
Entry from Alexandria via LeMat-Bulk: Sr2TlHg9 after structural relaxation (PBE).

abc: 4.9152 4.9152 14.0074
angles: 90.00 90.00 90.00
Closest atoms and distances in Å follow each position.
Fractional coordinates of all 12 atoms:
Sr: 0.0000 0.0000 0.3259  12 Hg 3.39-3.48
Sr: 0.0000 0.0000 0.6741  12 Hg 3.39-3.48
Tl: 0.0000 0.0000 0.0000  12 Hg 3.32-3.48
Hg: 0.5000 0.5000 0.0000  8 Hg 3.32, 4 Tl 3.48
Hg: 0.5000 0.5000 0.3285  8 Hg 3.42-3.44, 4 Sr 3.48
Hg: 0.5000 0.5000 0.6715  8 Hg 3.42-3.44, 4 Sr 3.48
Hg: 0.5000 0.0000 0.1589  8 Hg 3.32-3.48, 2 Tl 3.32, 2 Sr 3.39
Hg: 0.5000 0.0000 0.5000  8 Hg 3.44-3.48, 4 Sr 3.46
Hg: 0.5000 0.0000 0.8411  8 Hg 3.32-3.48, 2 Tl 3.32, 2 Sr 3.39
Hg: 0.0000 0.5000 0.1589  8 Hg 3.32-3.48, 2 Tl 3.32, 2 Sr 3.39
Hg: 0.0000 0.5000 0.5000  8 Hg 3.44-3.48, 4 Sr 3.46
Hg: 0.0000 0.5000 0.8411  8 Hg 3.32-3.48, 2 Tl 3.32, 2 Sr 3.39

Results
M_tot (μB per formula unit): 0.00
Formation energy from the elements (eV/f.u.): -3.4


# 13
Entry from Alexandria via LeMat-Bulk: AcSmPu after structural relaxation (PBE).

abc: 3.7093 3.7093 8.1124
angles: 103.22 103.22 90.00
Closest atoms and distances in Å follow each position.
Fractional coordinates of all 3 atoms:
Ac: 0.3360 0.3360 0.6720  4 Pu 3.69, 4 Ac 3.71, 4 Sm 3.78
Sm: 0.6588 0.6588 0.3176  4 Pu 3.53, 4 Sm 3.71, 4 Ac 3.78
Pu: 0.0052 0.0052 0.0105  4 Sm 3.53, 4 Ac 3.69, 4 Pu 3.71

Results
Relative energy among the computed polymorphs (meV per atom): 0
M_tot (μB per formula unit): 6.31
Formation energy from the elements (eV/f.u.): 0.5